! SrMoOsPt2 | Alexandria via LeMat-Bulk | PBE | optimized geometry; values from VASP
! Space-group type = No. 123
! Size of the total moment = 0.387 μB/atom
! Calculated volume = 117 Å³/f.u.
! Raw total energy = -21.15 eV per cell
! Offset from the most stable computed form = 1512 meV/atom
! Formation energy = 2.935 eV/atom
&SYSTEM
  ibrav = 0, nat = 5, ntyp = 4
/
ATOMIC_SPECIES
Sr 87.62 Sr.upf
Mo 95.94 Mo.upf
Os 190.23 Os.upf
Pt 195.08 Pt.upf
CELL_PARAMETERS angstrom
4.9062 0.0000 0.0000
0.0000 4.9062 0.0000
0.0000 0.0000 4.8459
ATOMIC_POSITIONS crystal
Sr 0.0000 0.0000 0.0000
Mo 0.0000 0.0000 0.5000
Os 0.5000 0.5000 0.5000
Pt 0.0000 0.5000 0.0000
Pt 0.5000 0.0000 0.0000

! VMoOsPt | Alexandria via LeMat-Bulk | PBE | optimized geometry; values from VASP
! Space-group type = No. 47
! Size of the total moment = 0.000 μB/atom
! Calculated volume = 59 Å³/f.u.
! Raw total energy = -38.24 eV per cell
! Formation energy = -0.256 eV/atom
&SYSTEM
  ibrav = 0, nat = 4, ntyp = 4
/
ATOMIC_SPECIES
V 50.94 V.upf
Mo 95.94 Mo.upf
Os 190.23 Os.upf
Pt 195.08 Pt.upf
CELL_PARAMETERS angstrom
3.8463 0.0000 0.0000
0.0000 3.8607 0.0000
0.0000 0.0000 3.9510
ATOMIC_POSITIONS crystal
V 0.0000 0.0000 0.0000
Mo 0.5000 0.0000 0.5000
Os 0.0000 0.5000 0.5000
Pt 0.5000 0.5000 0.0000

! ZnMoOsPt2 | Alexandria via LeMat-Bulk | PBE | optimized geometry; values from VASP
! Space-group type = No. 123
! Size of the total moment = 0.075 μB/atom
! Calculated volume = 110 Å³/f.u.
! Raw total energy = -28.02 eV per cell
! Formation energy = 1.480 eV/atom
&SYSTEM
  ibrav = 0, nat = 5, ntyp = 4
/
ATOMIC_SPECIES
Zn 65.41 Zn.upf
Mo 95.94 Mo.upf
Os 190.23 Os.upf
Pt 195.08 Pt.upf
CELL_PARAMETERS angstrom
4.8436 0.0000 0.0000
0.0000 4.8436 0.0000
0.0000 0.0000 4.6743
ATOMIC_POSITIONS crystal
Zn 0.0000 0.0000 0.0000
Mo 0.5000 0.5000 0.5000
Os 0.5000 0.5000 0.0000
Pt 0.0000 0.5000 0.5000
Pt 0.5000 0.0000 0.5000

! PuMo2Os | Alexandria via LeMat-Bulk | PBE | optimized geometry; values from VASP
! Space-group type = No. 166
! Size of the total moment = 1.244 μB/atom
! Calculated volume = 70 Å³/f.u.
! Raw total energy = -135.50 eV per cell
! Formation energy = 0.515 eV/atom
&SYSTEM
  ibrav = 0, nat = 12, ntyp = 3
/
ATOMIC_SPECIES
Pu 244.00 Pu.upf
Mo 95.94 Mo.upf
Os 190.23 Os.upf
CELL_PARAMETERS angstrom
2.8204 0.0000 0.0000
-1.4102 2.4425 0.0000
0.0000 0.0000 30.4372
ATOMIC_POSITIONS crystal
Pu 0.0000 0.0000 0.0000
Pu 0.3333 0.6667 0.6667
Pu 0.6667 0.3333 0.3333
Mo 0.0000 0.0000 0.0947
Mo 0.0000 0.0000 0.9053
Mo 0.3333 0.6667 0.5720
Mo 0.3333 0.6667 0.7614
Mo 0.6667 0.3333 0.2386
Mo 0.6667 0.3333 0.4280
Os 0.0000 0.0000 0.5000
Os 0.3333 0.6667 0.1667
Os 0.6667 0.3333 0.8333